[1]
An optimized crystal structure of Gd2SeO2, computed with PBEsol.

The value obtained for the calculated volume is 87.7 Å³ per cell. For the formation energy (no corrections), the calculation gives -3111 meV per atom.

The space group is P-3m1 (No. 164) and the conventional cell measures 3.8538, 3.8538 and 6.8182 Å, with angles of 90.00, 90.00 and 120.00 degrees. Symmetry generates all atoms from Gd at (0.3333, 0.6667, 0.2891), Se at (0.0000, 0.0000, 0.0000) and O at (0.3333, 0.6667, 0.6259).

=====

[2]
An optimized crystal structure of DyTlW2O8, computed with PBEsol.

The value obtained for the calculated volume is 630.9 Å³ per cell. For the formation energy (no corrections), the calculation gives -2379 meV per atom.

The space group is C2/c (No. 15) and the conventional cell measures 10.661, 10.463 and 7.449 Å, with angles of 90.00, 130.59 and 90.00 degrees. Symmetry generates all atoms from Dy at (0.000, 0.228, 0.250), Tl at (0.000, 0.209, 0.750), W at (0.197, 0.497, 0.230), O at (0.023, 0.392, 0.471), O at (0.126, 0.084, 0.188), O at (0.191, 0.429, 0.946) and O at (0.224, 0.159, 0.624).

=====

[3]
An optimized crystal structure of NaLi2Br2, computed with PBEsol.

The value obtained for the calculated volume is 354.7 Å³ per cell. For the formation energy (no corrections), the calculation gives -1074 meV per atom.

The space group is I4/mmm (No. 139) and the conventional cell measures 4.228, 4.228 and 19.842 Å, with angles of 90.00, 90.00 and 90.00 degrees. Symmetry generates all atoms from Na at (0.000, 0.000, 0.000), Li at (0.000, 0.500, 0.250) and Br at (0.000, 0.000, 0.317).

=====

[4]
An optimized crystal structure of FeSnGe2Pd, computed with PBEsol.

The value obtained for the calculated volume is 93.3 Å³ per cell. The calculation puts the formation energy from the elements at 0.170 eV/atom.

The space group is P4/mmm (No. 123) and the conventional cell measures 4.366, 4.366 and 4.895 Å, with angles of 90.00, 90.00 and 90.00 degrees. Symmetry generates all atoms from Fe at (0.000, 0.000, 0.000), Sn at (0.000, 0.000, 0.500), Ge at (0.000, 0.500, 0.000) and Pd at (0.500, 0.500, 0.500).